Material: Tb4Si3Pt
Method: DFT, PBE
State: optimized geometry

Lattice parameters (Å, degrees): 5.7829 3.9398 7.8674 90.00 90.89 90.00
With the nearest neighbours (Å) after each atom.
Fractional coordinates of all 8 atoms:
1 Si 0.1230 0.0000 0.5410  2 Si 2.51
2 Pt 0.3677 0.0000 0.0391  2 Si 2.58
3 Tb 0.1212 0.5000 0.8325  2 Pt 2.91, 5 Si 3.01-3.22
4 Tb 0.6159 0.0000 0.6784  6 Si 2.96-3.14, 1 Pt 3.20
5 Si 0.8742 0.5000 0.4632  2 Si 2.51
6 Si 0.6334 0.5000 0.9595  2 Pt 2.58
7 Tb 0.8864 0.0000 0.1757  5 Si 2.97-3.16, 2 Pt 3.00-3.17
8 Tb 0.3782 0.5000 0.3106  2 Pt 2.91, 5 Si 3.07-3.17

Calculated values
Its calculated total energy is -48.1 eV per cell. The calculation puts the magnetic moment at 0.0 μB per formula unit.

Material: TbSiPt
Method: DFT, PBE
State: optimized geometry

Lattice parameters (Å, degrees): 6.7652 6.7652 4.2140 90.00 90.00 120.00
With the nearest neighbours (Å) after each atom.
Fractional coordinates of all 9 atoms:
1 Si 0.6667 0.3333 0.0000  3 Pt 2.60
2 Tb 0.5745 0.0000 0.5000  5 Si 2.88-2.92, 2 Pt 3.06
3 Tb 0.4254 0.4254 0.5000  5 Si 2.88-2.92, 2 Pt 3.06
4 Si 0.0000 0.0000 0.5000  6 Pt 2.69, 3 Tb 2.88
5 Tb 0.0000 0.5745 0.5000  5 Si 2.88-2.92, 2 Pt 3.06
6 Pt 0.7539 0.7539 0.0000  4 Si 2.60-2.69, 2 Pt 2.88
7 Pt 0.0000 0.2461 0.0000  4 Si 2.60-2.69, 2 Pt 2.88
8 Pt 0.2461 0.0000 0.0000  4 Si 2.60-2.69, 2 Pt 2.88
9 Si 0.3333 0.6667 0.0000  3 Pt 2.60

Calculated values
Its calculated total energy is -58.1 eV per cell. The calculation puts the magnetic moment at 0.0 μB per formula unit.

Material: TbSiPt
Method: DFT, PBE
State: optimized geometry

Lattice parameters (Å, degrees): 7.1122 7.1122 3.9100 90.00 90.00 120.00
With the nearest neighbours (Å) after each atom.
Fractional coordinates of all 9 atoms:
1 Pt 0.6667 0.3333 0.0000  3 Si 2.73, 6 Tb 2.90
2 Tb 0.4117 0.4117 0.5000  5 Pt 2.90-2.93, 6 Si 3.12-3.21
3 Pt 0.0000 0.0000 0.5000  6 Si 2.62, 3 Tb 2.93
4 Tb 0.0000 0.5883 0.5000  5 Pt 2.90-2.93, 6 Si 3.12-3.21
5 Tb 0.5883 0.0000 0.5000  5 Pt 2.90-2.93, 6 Si 3.12-3.21
6 Pt 0.3333 0.6667 0.0000  3 Si 2.73, 6 Tb 2.90
7 Si 0.2460 0.0000 0.0000  4 Pt 2.62-2.73
8 Si 0.7540 0.7540 0.0000  4 Pt 2.62-2.73
9 Si 0.0000 0.2460 0.0000  4 Pt 2.62-2.73

Calculated values
Its calculated total energy is -57.9 eV per cell. The calculation puts the magnetic moment at 0.0 μB per formula unit.